4
Lattice="1.679 0.970 11.014 -1.679 0.970 11.014 0.000 -1.939 11.014" Properties=species:S:1:pos:R:3 comment="SmDyZr2 | Alexandria | GGA-PBE | relaxed" formation_enthalpy_0k_ev_per_atom=0.15 vol_a3_per_fu=108 space_group="R-3m, No. 166" pbc="T T T"
Sm 0.000 0.000 0.000
Dy 0.000 0.000 16.521
Zr 0.000 0.000 8.240
Zr 0.000 0.000 24.802

***

8
Lattice="2.916 -3.182 0.000 2.916 3.182 0.000 -2.868 0.000 11.868" Properties=species:S:1:pos:R:3 comment="AcCeRh2 | Alexandria | GGA-PBE | relaxed" formation_enthalpy_0k_ev_per_atom=-0.54 vol_a3_per_fu=110 space_group="C2/m, No. 12" pbc="T T T"
Ac 0.021 0.000 4.471
Ac 2.943 0.000 7.398
Ce 0.030 0.000 10.190
Ce 2.935 0.000 1.678
Rh 2.916 1.880 0.000
Rh 0.027 0.000 7.660
Rh 2.938 0.000 4.209
Rh 2.916 -1.880 0.000

***

Energy above the most stable polymorph in this dataset (meV per atom)
0 169
E (eV per atom)
-6.453 -6.723